1.
The following is a PBE calculation of an optimized crystal structure of V4Ni2Rh, from Alexandria.

Properties
- Fermi-level density of states (states/eV per cell) = 11.96
- E_form (eV per formula unit) = 6.13
- M_tot (μB/atom) = 0.475

Lattice parameters (Å, degrees): 4.5285 4.5285 6.7411 70.37 70.37 90.00
Fractional coordinates of all 7 atoms:
V 0.7951 0.7951 0.4097
Ni 0.6010 0.6010 0.7980
V 0.0000 0.5000 0.0000
Ni 0.3990 0.3990 0.2020
Rh 0.0000 0.0000 0.0000
V 0.2049 0.2049 0.5903
V 0.5000 0.0000 0.0000

---

2.
The following is a PBE calculation of an optimized crystal structure of TlAg, from Alexandria.

Properties
- Fermi-level density of states (states/eV per cell) = 1.00
- E_form (eV per formula unit) = 0.21
- M_tot (μB/atom) = 0.000

Lattice parameters (Å, degrees): 3.6146 4.8541 5.7190 90.00 107.41 90.00
Fractional coordinates of all 4 atoms:
Tl 0.6495 0.2500 0.8081
Ag 0.9285 0.2500 0.3516
Tl 0.3505 0.7500 0.1919
Ag 0.0715 0.7500 0.6484

---

3.
The following is a PBE calculation of an optimized crystal structure of CeMn9Si4, from Alexandria.

Properties
- Fermi-level density of states (states/eV per cell) = 24.53
- M_tot (μB/atom) = 0.413
- raw formation energy (eV per atom) = -0.393

Lattice parameters (Å, degrees): 7.8313 7.8313 8.0273 119.20 119.20 90.00
Fractional coordinates of all 28 atoms:
Mn 0.0564 0.7969 0.3533
Mn 0.5584 0.3092 0.0000
Si 0.4464 0.2972 0.2436
Mn 0.3092 0.4416 0.0000
Si 0.5536 0.7028 0.7564
Ce 0.7500 0.7500 0.5000
Ce 0.2500 0.2500 0.5000
Si 0.7028 0.2028 0.7564
Mn 0.0584 0.1908 0.0000
Si 0.2972 0.7972 0.2436
Mn 0.9436 0.2031 0.6467
Mn 0.5564 0.0564 0.3533
Mn 0.8092 0.0584 0.0000
Mn 0.5000 0.0000 0.0000
Si 0.0536 0.5536 0.7564
Mn 0.4416 0.6908 0.0000
Mn 0.7969 0.2969 0.3533
Mn 0.2969 0.5564 0.3533
Mn 0.4436 0.9436 0.6467
Mn 0.7031 0.4436 0.6467
Si 0.7972 0.9464 0.2436
Mn 0.2031 0.7031 0.6467
Si 0.2028 0.0536 0.7564
Mn 0.9416 0.8092 0.0000
Si 0.9464 0.4464 0.2436
Mn 0.1908 0.9416 0.0000
Mn 0.6908 0.5584 0.0000
Mn 0.0000 0.5000 0.0000

---

4.
The following is a PBE calculation of an optimized crystal structure of BaGe4Au12, from Alexandria.

Properties
- Fermi-level density of states (states/eV per cell) = 6.41
- E_form (eV per formula unit) = -0.14
- M_tot (μB/atom) = 0.000

Lattice parameters (Å, degrees): 7.9109 7.9109 7.9109 109.47 109.47 109.47
Fractional coordinates of all 17 atoms:
Au 0.8437 0.3471 0.1909
Au 0.6529 0.8091 0.1563
Ge 0.0000 0.0000 0.5000
Ba 0.0000 0.0000 0.0000
Au 0.8437 0.6529 0.4966
Ge 0.5000 0.5000 0.5000
Au 0.1909 0.8437 0.3471
Au 0.3471 0.5034 0.1563
Au 0.8091 0.1563 0.6529
Au 0.1563 0.3471 0.5034
Au 0.4966 0.8437 0.6529
Au 0.6529 0.4966 0.8437
Au 0.1563 0.6529 0.8092
Ge 0.5000 0.0000 0.0000
Ge 0.0000 0.5000 0.0000
Au 0.5034 0.1563 0.3471
Au 0.3471 0.1909 0.8437

---

5.
The following is a PBE calculation of an optimized crystal structure of Ce2GaRe, from Alexandria.

Properties
- Fermi-level density of states (states/eV per cell) = 4.25
- distance to the lowest polymorph of the same formula (meV per atom) = 43
- E_form (eV per formula unit) = -0.36
- M_tot (μB/atom) = 0.011

Lattice parameters (Å, degrees): 5.0103 5.0103 5.0103 60.00 60.00 60.00
Fractional coordinates of all 4 atoms:
Ce 0.2500 0.2500 0.2500
Ga 0.5000 0.5000 0.5000
Ce 0.7500 0.7500 0.7500
Re 0.0000 0.0000 0.0000

---

6.
The following is a PBE calculation of an optimized crystal structure of SrPSe, from Alexandria.

Properties
- Fermi-level density of states (states/eV per cell) = 2.55
- M_tot (μB/atom) = 0.000
- raw formation energy (eV per atom) = -1.073

Lattice parameters (Å, degrees): 10.2627 4.5849 7.7411 90.00 106.63 90.00
Fractional coordinates of all 12 atoms:
Se 0.5455 0.0000 0.0986
Sr 0.3599 0.0000 0.6949
Se 0.1987 0.0000 0.2983
P 0.9126 0.0000 0.8952
Sr 0.7266 0.0000 0.4990
Se 0.5455 0.5000 0.5986
P 0.9671 0.0000 0.1740
P 0.9671 0.5000 0.6740
Se 0.1987 0.5000 0.7983
Sr 0.7266 0.5000 0.9990
P 0.9126 0.5000 0.3952
Sr 0.3599 0.5000 0.1949

---

- Which of these has the highest Fermi-level density of states?
  CeMn9Si4

---

- Among the records above, which one has the highest Fermi-level density of states?
  CeMn9Si4

---

- What is the formula in the third record?
  CeMn9Si4

---

Repeat the sixth record exactly.
The following is a PBE calculation of an optimized crystal structure of SrPSe, from Alexandria.

Properties
- Fermi-level density of states (states/eV per cell) = 2.55
- M_tot (μB/atom) = 0.000
- raw formation energy (eV per atom) = -1.073

Lattice parameters (Å, degrees): 10.2627 4.5849 7.7411 90.00 106.63 90.00
Fractional coordinates of all 12 atoms:
Se 0.5455 0.0000 0.0986
Sr 0.3599 0.0000 0.6949
Se 0.1987 0.0000 0.2983
P 0.9126 0.0000 0.8952
Sr 0.7266 0.0000 0.4990
Se 0.5455 0.5000 0.5986
P 0.9671 0.0000 0.1740
P 0.9671 0.5000 0.6740
Se 0.1987 0.5000 0.7983
Sr 0.7266 0.5000 0.9990
P 0.9126 0.5000 0.3952
Sr 0.3599 0.5000 0.1949